{
  "formula": "BeGaTc2Pb",
  "functional": "PBE",
  "state": "relaxed",
  "e_form_ev_per_atom": 0.60,
  "space_group": "P4/mmm",
  "final_energy_ev_per_atom": -5.64,
  "magnetic_moment_mub_per_cell": 1.1,
  "lattice": [[4.4160, 0.0000, 0.0000], [0.0000, 4.4160, 0.0000], [0.0000, 0.0000, 4.1096]],
  "species": ["Be", "Ga", "Tc", "Tc", "Pb"],
  "frac_coords": [[0.0000, 0.0000, 0.0000], [0.0000, 0.0000, 0.5000], [0.0000, 0.5000, 0.0000], [0.5000, 0.0000, 0.0000], [0.5000, 0.5000, 0.5000]]
}

---

{
  "formula": "BeTl2GaPb",
  "functional": "PBE",
  "state": "relaxed",
  "e_form_ev_per_atom": 0.43,
  "space_group": "P4/mmm",
  "final_energy_ev_per_atom": -2.61,
  "magnetic_moment_mub_per_cell": 0.0,
  "lattice": [[5.6713, 0.0000, 0.0000], [0.0000, 5.6713, 0.0000], [0.0000, 0.0000, 4.2905]],
  "species": ["Be", "Tl", "Tl", "Ga", "Pb"],
  "frac_coords": [[0.0000, 0.0000, 0.0000], [0.0000, 0.5000, 0.5000], [0.5000, 0.0000, 0.5000], [0.0000, 0.0000, 0.5000], [0.5000, 0.5000, 0.0000]]
}

---

{
  "formula": "Be2GaPbW",
  "functional": "PBE",
  "state": "relaxed",
  "e_form_ev_per_atom": 1.97,
  "space_group": "P4/mmm",
  "final_energy_ev_per_atom": -3.46,
  "magnetic_moment_mub_per_cell": 2.9,
  "lattice": [[4.3666, 0.0000, 0.0000], [0.0000, 4.3666, 0.0000], [0.0000, 0.0000, 5.6991]],
  "species": ["Be", "Be", "Ga", "Pb", "W"],
  "frac_coords": [[0.0000, 0.5000, 0.0000], [0.5000, 0.0000, 0.0000], [0.0000, 0.0000, 0.5000], [0.0000, 0.0000, 0.0000], [0.5000, 0.5000, 0.5000]]
}

---

{
  "formula": "BeGaPd5",
  "functional": "PBE",
  "state": "relaxed",
  "e_form_ev_per_atom": -0.31,
  "space_group": "C2/c",
  "final_energy_ev_per_atom": -4.98,
  "magnetic_moment_mub_per_cell": 0.0,
  "lattice": [[5.1663, -3.3270, 0.0000], [5.1663, 3.3270, 0.0000], [-3.5963, 0.0000, 6.1362]],
  "species": ["Be", "Be", "Ga", "Ga", "Pd", "Pd", "Pd", "Pd", "Pd", "Pd", "Pd", "Pd", "Pd", "Pd"],
  "frac_coords": [[0.0960, 0.9040, 0.7500], [0.9040, 0.0960, 0.2500], [0.0000, 0.5000, 0.0000], [0.5000, 0.0000, 0.5000], [0.1506, 0.3321, 0.3400], [0.1829, 0.7944, 0.4322], [0.2056, 0.8171, 0.0678], [0.3321, 0.1506, 0.8400], [0.4442, 0.5558, 0.7500], [0.5558, 0.4442, 0.2500], [0.6679, 0.8494, 0.1600], [0.7944, 0.1829, 0.9322], [0.8171, 0.2056, 0.5678], [0.8494, 0.6679, 0.6600]]
}

---

{
  "formula": "BeGaPd2",
  "functional": "PBE",
  "state": "relaxed",
  "e_form_ev_per_atom": -0.55,
  "space_group": "P4/mmm",
  "final_energy_ev_per_atom": -4.83,
  "magnetic_moment_mub_per_cell": 0.0,
  "lattice": [[2.8162, 0.0000, 0.0000], [0.0000, 2.8162, 0.0000], [0.0000, 0.0000, 6.6419]],
  "species": ["Be", "Ga", "Pd", "Pd"],
  "frac_coords": [[0.0000, 0.0000, 0.0000], [0.0000, 0.0000, 0.5000], [0.5000, 0.5000, 0.2182], [0.5000, 0.5000, 0.7818]]
}

---

{
  "formula": "Be2GaPd2",
  "functional": "PBE",
  "state": "relaxed",
  "polymorph_energy_ev_per_atom": 0.0789,
  "e_form_ev_per_atom": -0.38,
  "space_group": "I4/mmm",
  "final_energy_ev_per_atom": -4.55,
  "magnetic_moment_mub_per_cell": 0.0,
  "lattice": [[-1.5683, 1.5683, 6.5077], [1.5683, -1.5683, 6.5077], [1.5683, 1.5683, -6.5077]],
  "species": ["Be", "Be", "Ga", "Pd", "Pd"],
  "frac_coords": [[0.2500, 0.7500, 0.5000], [0.7500, 0.2500, 0.5000], [0.0000, 0.0000, 0.0000], [0.3876, 0.3876, 0.0000], [0.6124, 0.6124, 0.0000]]
}

---

{
  "formula": "BeGaPd",
  "functional": "PBE",
  "state": "relaxed",
  "polymorph_energy_ev_per_atom": 0.0000,
  "e_form_ev_per_atom": -0.37,
  "space_group": "I4mm",
  "final_energy_ev_per_atom": -4.36,
  "magnetic_moment_mub_per_cell": 0.0,
  "lattice": [[-1.5311, 1.5311, 4.1418], [1.5311, -1.5311, 4.1418], [1.5311, 1.5311, -4.1418]],
  "species": ["Be", "Ga", "Pd"],
  "frac_coords": [[0.0000, 0.0000, 0.0000], [0.3255, 0.3255, 0.0000], [0.6372, 0.6372, 0.0000]]
}

---

{
  "formula": "BeGaPd3",
  "functional": "PBE",
  "state": "relaxed",
  "polymorph_energy_ev_per_atom": 0.0000,
  "e_form_ev_per_atom": -0.42,
  "space_group": "Amm2",
  "final_energy_ev_per_atom": -4.88,
  "magnetic_moment_mub_per_cell": 0.0,
  "lattice": [[3.3120, 0.0000, 0.0000], [0.0000, 3.8979, 5.6947], [0.0000, -3.8979, 5.6947]],
  "species": ["Be", "Be", "Ga", "Ga", "Pd", "Pd", "Pd", "Pd", "Pd", "Pd"],
  "frac_coords": [[0.0000, 0.2498, 0.7502], [0.0000, 0.7502, 0.2498], [0.0000, 0.2502, 0.2502], [0.5000, 0.7498, 0.7498], [0.0000, 0.5843, 0.5843], [0.0000, 0.9152, 0.9152], [0.5000, 0.1752, 0.5694], [0.5000, 0.3253, 0.9312], [0.5000, 0.5694, 0.1752], [0.5000, 0.9312, 0.3253]]
}